An optimized crystal structure of La8PmPr3, computed with PBE.

Lattice parameters (Å, degrees): 8.933 8.933 8.933 96.64 100.08 135.18
Positions (direct):
La: 0.833 0.250 0.083
La: 0.496 0.725 0.771
La: 0.833 0.750 0.583
La: 0.167 0.250 0.417
La: 0.504 0.275 0.229
La: 0.046 0.275 0.771
La: 0.167 0.750 0.917
La: 0.954 0.725 0.229
Pr: 0.500 0.261 0.761
Pr: 0.500 0.739 0.239
Pr: 0.000 0.500 0.500
Pm: 0.000 0.000 0.000

Calculated values
E_tot: -55.33 eV per cell
M_tot: 0.00 μB per cell